No. 1
Compound: ReMoI2N
Source: Alexandria
Functional: PBE
Structure: relaxed

```
ReMoI2N
1.0
5.627 0.000 0.000
0.000 5.627 0.000
0.000 0.000 3.820
I Re Mo N
2 1 1 1
direct
0.000 0.500 0.000 I
0.500 0.000 0.000 I
0.500 0.500 0.500 Re
0.000 0.000 0.000 Mo
0.000 0.000 0.500 N
```

- energy above the lowest structure with this stoichiometry (eV/f.u.) = 1.43
- formation energy without anion corrections (eV/atom) = 1.373
- theoretical density (kg/m3) = 7550

No. 2
Compound: Cu2N2Cl
Source: Alexandria
Functional: PBE
Structure: relaxed

```
Cu2N2Cl
1.0
3.072 0.000 1.056
0.630 4.158 3.166
-1.503 3.712 9.373
Cu N Cl
2 2 1
direct
0.253 0.344 0.151 Cu
0.747 0.656 0.849 Cu
0.565 0.304 0.567 N
0.435 0.696 0.433 N
0.000 0.000 0.000 Cl
```

- energy above the lowest structure with this stoichiometry (eV/f.u.) = 0.00
- formation energy without anion corrections (eV/atom) = 0.163
- theoretical density (kg/m3) = 3414

No. 3
Compound: La5YCd4
Source: Alexandria
Functional: PBE
Structure: relaxed

```
La5YCd4
1.0
3.904 0.000 0.000
0.000 3.904 0.000
0.000 0.000 20.696
La Y Cd
5 1 4
direct
0.500 0.500 0.116 La
0.500 0.500 0.308 La
0.500 0.500 0.500 La
0.500 0.500 0.692 La
0.500 0.500 0.884 La
0.000 0.000 0.000 Y
0.000 0.000 0.210 Cd
0.000 0.000 0.404 Cd
0.000 0.000 0.596 Cd
0.000 0.000 0.790 Cd
```

- theoretical density (kg/m3) = 6493
- calculated formation energy (eV/atom) = -0.248

No. 4
Compound: Mg2AsRh
Source: Alexandria
Functional: PBE
Structure: relaxed

```
Mg2AsRh
1.0
5.957 0.028 0.002
3.485 4.831 -0.002
-4.315 -3.219 2.551
As Mg Rh
1 2 1
direct
0.699 0.199 0.500 As
0.994 0.994 0.000 Mg
0.291 0.791 0.500 Mg
0.517 0.517 0.000 Rh
```

- theoretical density (kg/m3) = 5140
- calculated formation energy (eV/atom) = -0.453

No. 5
Compound: Te2Se
Source: Alexandria
Functional: PBE
Structure: relaxed

```
Te2Se
1.0
-0.401 5.928 4.384
-0.151 -4.397 5.930
7.371 0.233 0.360
Te Se
8 4
direct
0.607 0.607 0.393 Te
0.393 0.393 0.607 Te
0.107 0.893 0.607 Te
0.893 0.107 0.393 Te
0.393 0.107 0.107 Te
0.607 0.893 0.893 Te
0.893 0.393 0.893 Te
0.107 0.607 0.107 Te
0.000 0.000 0.000 Se
0.500 0.500 0.000 Se
0.500 0.000 0.500 Se
0.000 0.500 0.500 Se
```

- energy above the lowest structure with this stoichiometry (eV/f.u.) = 0.79
- formation energy without anion corrections (eV/atom) = 0.306
- theoretical density (kg/m3) = 5513

No. 6
Compound: La4TcSeCl2
Source: Alexandria
Functional: PBE
Structure: relaxed

```
La4TcSeCl2
1.0
-2.971 0.751 2.843
-2.938 -6.813 -1.271
3.451 -4.765 4.866
La Tc Se Cl
4 1 1 2
direct
0.000 0.716 0.732 La
0.000 0.284 0.268 La
0.500 0.721 0.277 La
0.500 0.279 0.723 La
0.000 0.500 0.500 Tc
0.500 0.500 0.000 Se
0.000 0.000 0.000 Cl
0.500 0.000 0.500 Cl
```

- formation energy without anion corrections (eV/atom) = -1.275
- theoretical density (kg/m3) = 5786

No. 7
Compound: Ac4Ni2Hg
Source: Alexandria
Functional: PBE
Structure: relaxed

```
Ac4Ni2Hg
1.0
8.457 -1.222 -0.165
-1.828 8.348 0.161
-3.199 -3.674 6.991
Ac Ni Hg
8 4 2
direct
0.910 0.225 0.314 Ac
0.340 0.525 0.185 Ac
0.912 0.596 0.686 Ac
0.775 0.090 0.686 Ac
0.404 0.089 0.314 Ac
0.339 0.154 0.814 Ac
0.475 0.660 0.814 Ac
0.846 0.662 0.186 Ac
0.625 0.375 0.750 Ni
0.625 0.875 0.250 Ni
0.625 0.375 0.250 Ni
0.125 0.375 0.750 Ni
0.250 0.750 0.500 Hg
0.000 0.000 0.000 Hg
```

- energy above the lowest structure with this stoichiometry (eV/f.u.) = 0.53
- theoretical density (kg/m3) = 8517
- calculated formation energy (eV/atom) = -0.192

No. 8
Compound: LiCaTa
Source: Alexandria
Functional: PBE
Structure: relaxed

```
LiCaTa
1.0
8.449 0.000 0.000
0.000 3.409 0.000
0.000 0.000 9.959
Ca Li Ta
4 4 4
direct
0.092 0.250 0.820 Ca
0.408 0.750 0.320 Ca
0.908 0.750 0.180 Ca
0.592 0.250 0.680 Ca
0.725 0.250 0.384 Li
0.775 0.750 0.884 Li
0.275 0.750 0.616 Li
0.225 0.250 0.116 Li
0.085 0.250 0.435 Ta
0.415 0.750 0.935 Ta
0.915 0.750 0.565 Ta
0.585 0.250 0.065 Ta
```

- energy above the lowest structure with this stoichiometry (eV/f.u.) = 0.81
- theoretical density (kg/m3) = 5279
- calculated formation energy (eV/atom) = 0.515

No. 9
Compound: Pr6TlP2Se3
Source: Alexandria
Functional: PBE
Structure: relaxed

```
Pr6TlP2Se3
1.0
4.249 0.000 0.000
0.000 8.707 0.311
-2.125 -2.511 9.047
Pr Tl P Se
6 1 2 3
direct
0.329 0.900 0.657 Pr
0.672 0.572 0.343 Pr
0.671 0.100 0.343 Pr
0.005 0.265 0.010 Pr
0.995 0.735 0.990 Pr
0.328 0.428 0.657 Pr
0.500 0.000 0.000 Tl
0.832 0.664 0.663 P
0.168 0.336 0.337 P
0.500 0.500 0.000 Se
0.835 0.169 0.669 Se
0.165 0.831 0.331 Se
```

- formation energy without anion corrections (eV/atom) = -1.506
- theoretical density (kg/m3) = 6625

No. 10
Compound: InAg2Ru
Source: Alexandria
Functional: PBE
Structure: relaxed

```
InAg2Ru
1.0
2.874 0.000 0.000
0.000 4.350 0.000
0.000 0.000 5.680
Ag In Ru
2 1 1
direct
0.000 0.000 0.989 Ag
0.000 0.000 0.511 Ag
0.500 0.500 0.250 In
0.500 0.500 0.750 Ru
```

- theoretical density (kg/m3) = 10094
- calculated formation energy (eV/atom) = 0.347

No. 11
Compound: TbTm2Th2
Source: Alexandria
Functional: PBE
Structure: relaxed

```
TbTm2Th2
1.0
5.877 0.000 -1.855
0.000 7.076 0.000
2.346 0.000 14.340
Tb Tm Th
4 8 8
direct
0.850 0.374 0.302 Tb
0.150 0.626 0.698 Tb
0.350 0.126 0.302 Tb
0.650 0.874 0.698 Tb
0.549 0.125 0.902 Tm
0.049 0.375 0.902 Tm
0.951 0.625 0.098 Tm
0.451 0.875 0.098 Tm
0.351 0.623 0.303 Tm
0.851 0.877 0.303 Tm
0.149 0.123 0.697 Tm
0.649 0.377 0.697 Tm
0.949 0.129 0.098 Th
0.449 0.371 0.098 Th
0.551 0.629 0.902 Th
0.051 0.871 0.902 Th
0.250 0.376 0.501 Th
0.750 0.124 0.501 Th
0.250 0.876 0.499 Th
0.750 0.624 0.499 Th
```

- energy above the lowest structure with this stoichiometry (eV/f.u.) = 0.00
- theoretical density (kg/m3) = 10176
- calculated formation energy (eV/atom) = 0.029

No. 12
Compound: ErTh2Os
Source: Alexandria
Functional: PBE
Structure: relaxed

```
ErTh2Os
1.0
-2.099 1.966 -2.658
-3.826 -0.731 -0.405
-4.091 7.612 5.973
Os Th Er
1 2 1
direct
0.500 0.500 0.500 Os
0.113 0.113 0.660 Th
0.887 0.887 0.340 Th
0.000 0.000 0.000 Er
```

- energy above the lowest structure with this stoichiometry (eV/f.u.) = 1.73
- theoretical density (kg/m3) = 10014
- calculated formation energy (eV/atom) = 0.203

No. 13
Compound: SmZn8Pd2
Source: Alexandria
Functional: PBE
Structure: relaxed

```
SmZn8Pd2
1.0
6.468 0.000 0.000
0.000 6.468 0.000
0.000 0.000 5.126
Sm Zn Pd
1 8 2
direct
0.500 0.500 0.500 Sm
0.795 0.795 0.250 Zn
0.795 0.205 0.750 Zn
0.795 0.795 0.750 Zn
0.795 0.205 0.250 Zn
0.205 0.795 0.250 Zn
0.205 0.795 0.750 Zn
0.205 0.205 0.250 Zn
0.205 0.205 0.750 Zn
0.500 0.000 0.000 Pd
0.000 0.500 0.000 Pd
```

- theoretical density (kg/m3) = 6866
- calculated formation energy (eV/atom) = -0.063

No. 14
Compound: VCuTe2
Source: Alexandria
Functional: PBE
Structure: relaxed

```
VCuTe2
1.0
1.783 -0.628 4.477
3.005 3.310 1.905
-1.511 2.846 3.638
Te Cu V
2 1 1
direct
0.250 0.250 0.250 Te
0.750 0.750 0.750 Te
0.500 0.500 0.500 Cu
0.000 0.000 0.000 V
```

- formation energy without anion corrections (eV/atom) = 0.226
- theoretical density (kg/m3) = 7566

No. 15
Compound: Pm4Y2Pb3O2
Source: Alexandria
Functional: PBE
Structure: relaxed

```
Pm4Y2Pb3O2
1.0
4.795 0.000 0.000
0.000 4.795 0.000
-2.398 -2.398 12.842
Pm Y Pb O
4 2 3 2
direct
0.416 0.916 0.831 Pm
0.916 0.416 0.831 Pm
0.084 0.584 0.169 Pm
0.584 0.084 0.169 Pm
0.306 0.306 0.613 Y
0.694 0.694 0.387 Y
0.000 0.000 0.000 Pb
0.181 0.181 0.363 Pb
0.819 0.819 0.637 Pb
0.396 0.396 0.791 O
0.604 0.604 0.209 O
```

- formation energy without anion corrections (eV/atom) = -1.372
- theoretical density (kg/m3) = 7937

No. 16
Compound: TmInCuAg
Source: Alexandria
Functional: PBE
Structure: relaxed

```
TmInCuAg
1.0
4.801 0.000 0.000
2.401 4.158 0.000
2.401 1.386 3.920
Tm Cu Ag In
1 1 1 1
direct
0.000 0.000 0.000 Tm
0.250 0.250 0.250 Cu
0.750 0.750 0.750 Ag
0.500 0.500 0.500 In
```

- theoretical density (kg/m3) = 9657
- calculated formation energy (eV/atom) = -0.311

No. 17
Compound: Pa4Ge2C
Source: Alexandria
Functional: PBE
Structure: relaxed

```
Pa4Ge2C
1.0
6.756 0.000 0.097
0.000 6.196 0.000
-2.374 0.000 7.494
Pa Ge C
8 4 2
direct
0.520 0.472 0.254 Pa
0.112 0.750 0.902 Pa
0.888 0.250 0.098 Pa
0.520 0.028 0.254 Pa
0.891 0.250 0.595 Pa
0.480 0.972 0.746 Pa
0.480 0.528 0.746 Pa
0.109 0.750 0.405 Pa
0.769 0.750 0.067 Ge
0.231 0.250 0.933 Ge
0.235 0.250 0.434 Ge
0.765 0.750 0.566 Ge
0.289 0.750 0.197 C
0.711 0.250 0.803 C
```

- energy above the lowest structure with this stoichiometry (eV/f.u.) = 0.21
- theoretical density (kg/m3) = 11397
- calculated formation energy (eV/atom) = -0.247

No. 18
Compound: Cs2NaSb2Pt
Source: Alexandria
Functional: PBE
Structure: relaxed

```
Cs2NaSb2Pt
1.0
7.206 0.000 0.000
0.000 7.403 0.000
-3.603 -3.702 8.450
Cs Na Sb Pt
4 2 4 2
direct
0.389 0.170 0.340 Cs
0.611 0.830 0.660 Cs
0.049 0.330 0.660 Cs
0.951 0.670 0.340 Cs
0.000 0.750 0.000 Na
0.000 0.250 0.000 Na
0.769 0.081 0.162 Sb
0.392 0.581 0.162 Sb
0.608 0.419 0.838 Sb
0.231 0.919 0.838 Sb
0.500 0.750 0.000 Pt
0.500 0.250 0.000 Pt
```

- formation energy without anion corrections (eV/atom) = -0.398
- theoretical density (kg/m3) = 5359

No. 19
Compound: Dy5Er3Th2
Source: Alexandria
Functional: PBE
Structure: relaxed

```
Dy5Er3Th2
1.0
8.089 1.318 -3.677
-0.060 8.183 -3.714
-1.263 -1.444 10.934
Dy Er Th
10 6 4
direct
0.279 0.529 0.057 Dy
0.721 0.471 0.943 Dy
0.027 0.777 0.555 Dy
0.531 0.281 0.562 Dy
0.973 0.223 0.445 Dy
0.469 0.719 0.438 Dy
0.881 0.626 0.757 Dy
0.119 0.374 0.243 Dy
0.376 0.131 0.757 Dy
0.624 0.869 0.243 Dy
0.217 0.967 0.935 Er
0.783 0.033 0.065 Er
0.728 0.477 0.248 Er
0.272 0.523 0.752 Er
0.020 0.771 0.248 Er
0.980 0.229 0.752 Er
0.762 0.012 0.752 Th
0.238 0.988 0.248 Th
0.490 0.740 0.752 Th
0.510 0.260 0.248 Th
```

- theoretical density (kg/m3) = 9099
- calculated formation energy (eV/atom) = 0.216

No. 20
Compound: La4YHo2Sc
Source: Alexandria
Functional: PBE
Structure: relaxed

```
La4YHo2Sc
1.0
-4.157 -2.546 -1.892
3.072 -2.487 -3.403
4.483 -9.604 3.070
La Y Ho Sc
4 1 2 1
direct
0.000 0.756 0.744 La
0.000 0.244 0.256 La
0.500 0.744 0.256 La
0.500 0.256 0.744 La
0.500 0.500 0.000 Y
0.000 0.000 0.000 Ho
0.500 0.000 0.500 Ho
0.000 0.500 0.500 Sc
```

- theoretical density (kg/m3) = 6383
- calculated formation energy (eV/atom) = 0.034

No. 21
Compound: Li3B4C4
Source: Alexandria
Functional: PBE
Structure: relaxed

```
Li3B4C4
1.0
-2.906 3.657 -0.598
-3.873 -3.378 -1.836
-2.440 -0.844 6.701
C B Li
8 8 6
direct
0.168 0.251 0.751 C
0.832 0.251 0.249 C
0.671 0.501 0.743 C
0.329 0.501 0.257 C
0.171 0.749 0.757 C
0.829 0.749 0.243 C
0.668 0.999 0.749 C
0.332 0.999 0.251 C
0.167 0.248 0.254 B
0.833 0.248 0.746 B
0.665 0.498 0.247 B
0.335 0.498 0.753 B
0.165 0.752 0.253 B
0.835 0.752 0.747 B
0.667 0.002 0.246 B
0.333 0.002 0.754 B
0.000 0.008 0.000 Li
0.500 0.242 0.500 Li
0.000 0.492 0.000 Li
0.000 0.500 0.500 Li
0.500 0.750 0.000 Li
0.500 0.758 0.500 Li
```

- energy above the lowest structure with this stoichiometry (eV/f.u.) = 0.09
- theoretical density (kg/m3) = 2018
- calculated formation energy (eV/atom) = -0.233

No. 22
Compound: Ag4SnPb
Source: Alexandria
Functional: PBE
Structure: relaxed

```
Ag4SnPb
1.0
5.691 0.000 0.000
2.846 4.929 0.000
2.846 1.643 4.647
Pb Sn Ag
1 1 4
direct
0.250 0.250 0.250 Pb
0.000 0.000 0.000 Sn
0.625 0.625 0.125 Ag
0.625 0.125 0.625 Ag
0.625 0.625 0.625 Ag
0.125 0.625 0.625 Ag
```

- energy above the lowest structure with this stoichiometry (eV/f.u.) = 0.00
- theoretical density (kg/m3) = 9647
- calculated formation energy (eV/atom) = 0.056